DFT (PBE-GGA) results for a relaxed La2Ni2Ag crystal.

Computed properties:
Energy above the most stable polymorph in this dataset   0.0000 eV per atom
Energy of formation from the pure elements   -0.350 eV/atom
Spin magnetization   0.0 μB/cell
SG   Cmmm (65)
ρ   7.5 Mg/m³

Geometry as extended XYZ:
```
5
Lattice="3.8490 0.0000 0.0000 0.0000 3.9054 -1.1103 0.0000 0.0018 7.4302" Properties=species:S:1:pos:R:3 pbc="T T T"
La 1.9245 2.4819 1.3063
La 1.9245 1.4253 5.0137
Ni 0.0000 0.7758 2.7288
Ni 0.0000 3.1314 3.5911
Ag 0.0000 0.0000 0.0000
```